No. 1
Entry from the Alexandria database: a relaxed HfGaCu crystal (PBE-GGA).

Summary:
formation enthalpy at 0 K: -309 meV per atom
calculated volume: 98 Å³ per cell
symmetry: Ima2
total energy: -18.00 eV per formula unit
calculated density: 10.54 Mg/m³

Cell: 5.2797 5.2797 5.2797 Å, 132.70 92.97 105.66°
Closest atoms and distances in Å follow each position.
Fractional coordinates of all 6 atoms:
Hf 0.2151 0.2500 0.4651  6 Cu 2.88-3.02, 6 Ga 2.88-3.09
Hf 0.7849 0.7500 0.5349  6 Cu 2.88-3.02, 6 Ga 2.88-3.09
Ga 0.6210 0.9661 0.1549  2 Cu 2.43-2.65, 2 Ga 2.53
Ga 0.8111 0.4661 0.8451  2 Cu 2.43-2.65, 2 Ga 2.53
Cu 0.2209 0.5506 0.1704  2 Cu 2.41, 2 Ga 2.43-2.65
Cu 0.3802 0.0506 0.8296  2 Cu 2.41, 2 Ga 2.43-2.65


No. 2
Entry from the Alexandria database: a relaxed HfGaCu2 crystal (PBE-GGA).

Summary:
formation enthalpy at 0 K: -107 meV per atom
calculated volume: 61 Å³ per cell
symmetry: P4/mmm
total energy: -21.60 eV per formula unit
calculated density: 10.18 Mg/m³

Cell: 3.0478 3.0478 6.5911 Å, 90.00 90.00 90.00°
Closest atoms and distances in Å follow each position.
Fractional coordinates of all 4 atoms:
Hf 0.0000 0.0000 0.0000  8 Cu 2.82, 4 Hf 3.05
Ga 0.0000 0.0000 0.5000  8 Cu 2.61
Cu 0.5000 0.5000 0.2757  4 Ga 2.61, 4 Hf 2.82
Cu 0.5000 0.5000 0.7243  4 Ga 2.61, 4 Hf 2.82


No. 3
Entry from the Alexandria database: a relaxed HfGaCu crystal (PBE-GGA).

Summary:
formation enthalpy at 0 K: -243 meV per atom
calculated volume: 101 Å³ per cell
symmetry: P2/m
total energy: -17.81 eV per formula unit
calculated density: 10.23 Mg/m³

Cell: 4.9719 3.0635 6.8807 Å, 90.00 105.08 90.00°
Closest atoms and distances in Å follow each position.
Fractional coordinates of all 6 atoms:
Hf 0.1088 0.0000 0.3050  4 Cu 2.82-2.84, 6 Ga 2.92-2.93, 3 Hf 3.06-3.14
Hf 0.8912 0.0000 0.6950  4 Cu 2.82-2.84, 6 Ga 2.92-2.93, 3 Hf 3.06-3.14
Ga 0.3796 0.5000 0.6650  2 Cu 2.53-2.56, 1 Ga 2.83
Ga 0.6204 0.5000 0.3350  2 Cu 2.53-2.56, 1 Ga 2.83
Cu 0.2520 0.5000 0.0021  2 Cu 2.47-2.50, 2 Ga 2.53-2.56
Cu 0.7480 0.5000 0.9979  2 Cu 2.47-2.50, 2 Ga 2.53-2.56


No. 4
Entry from the Alexandria database: a relaxed Hf2Ga2Cu3 crystal (PBE-GGA).

Summary:
formation enthalpy at 0 K: -164 meV per atom
calculated volume: 227 Å³ per cell
symmetry: Cmcm
total energy: -39.40 eV per formula unit
energy above the lowest structure with this stoichiometry: 0 meV per atom
calculated density: 10.07 Mg/m³

Cell: 9.6173 9.6173 7.2416 Å, 90.00 90.00 160.22°
Closest atoms and distances in Å follow each position.
Fractional coordinates of all 14 atoms:
Hf 0.0560 0.9440 0.7500  8 Cu 2.90-2.92, 4 Ga 3.10
Hf 0.1451 0.8549 0.2500  6 Cu 2.70-2.72, 4 Ga 2.85
Hf 0.8549 0.1451 0.7500  6 Cu 2.70-2.72, 4 Ga 2.85
Hf 0.9440 0.0560 0.2500  8 Cu 2.90-2.92, 4 Ga 3.10
Ga 0.3260 0.6740 0.0615  4 Cu 2.49-2.78, 1 Ga 2.73
Ga 0.3260 0.6740 0.4385  4 Cu 2.49-2.78, 1 Ga 2.73
Ga 0.6740 0.3260 0.5615  4 Cu 2.49-2.78, 1 Ga 2.73
Ga 0.6740 0.3260 0.9385  4 Cu 2.49-2.78, 1 Ga 2.73
Cu 0.2406 0.7594 0.7500  6 Ga 2.49-2.78, 2 Hf 2.72
Cu 0.4468 0.5532 0.5795  2 Cu 2.32-2.47, 1 Ga 2.51
Cu 0.4468 0.5532 0.9205  2 Cu 2.32-2.47, 1 Ga 2.51
Cu 0.5532 0.4468 0.0795  2 Cu 2.32-2.47, 1 Ga 2.51
Cu 0.5532 0.4468 0.4205  2 Cu 2.32-2.47, 1 Ga 2.51
Cu 0.7594 0.2406 0.2500  6 Ga 2.49-2.78, 2 Hf 2.72


No. 5
Entry from the Alexandria database: a relaxed HfGaCu2 crystal (PBE-GGA).

Summary:
formation enthalpy at 0 K: 105 meV per atom
calculated volume: 134 Å³ per cell
symmetry: I-42d
total energy: -20.75 eV per formula unit
calculated density: 9.28 Mg/m³

Cell: 9.2017 9.2017 9.2017 Å, 155.46 155.46 34.98°
Closest atoms and distances in Å follow each position.
Fractional coordinates of all 8 atoms:
Hf 0.0000 0.0000 0.0000  4 Cu 2.66, 4 Ga 2.77
Hf 0.7500 0.2500 0.5000  4 Cu 2.66, 4 Ga 2.77
Ga 0.2500 0.7500 0.5000  4 Cu 2.54, 4 Hf 2.77
Ga 0.5000 0.5000 0.0000  4 Cu 2.54, 4 Hf 2.77
Cu 0.1675 0.6250 0.0425  2 Ga 2.54, 2 Cu 2.54, 2 Hf 2.66
Cu 0.3750 0.4175 0.5425  2 Ga 2.54, 2 Cu 2.54, 2 Hf 2.66
Cu 0.5825 0.1250 0.9575  2 Ga 2.54, 2 Cu 2.54, 2 Hf 2.66
Cu 0.8750 0.8325 0.4575  2 Ga 2.54, 2 Cu 2.54, 2 Hf 2.66


No. 6
Entry from the Alexandria database: a relaxed HfGaCu crystal (PBE-GGA).

Summary:
formation enthalpy at 0 K: -325 meV per atom
calculated volume: 98 Å³ per cell
symmetry: Cmcm
total energy: -18.05 eV per formula unit
calculated density: 10.61 Mg/m³

Cell: 5.0801 5.0801 5.3455 Å, 90.00 90.00 134.98°
Closest atoms and distances in Å follow each position.
Fractional coordinates of all 6 atoms:
Hf 0.2010 0.7990 0.7500  5 Cu 2.69-2.84
Hf 0.7990 0.2010 0.2500  5 Cu 2.69-2.84
Ga 0.5000 0.5000 0.0000  4 Cu 2.54, 2 Ga 2.67
Ga 0.5000 0.5000 0.5000  4 Cu 2.54, 2 Ga 2.67
Cu 0.1012 0.8988 0.2500  4 Ga 2.54, 5 Hf 2.69-2.84
Cu 0.8988 0.1012 0.7500  4 Ga 2.54, 5 Hf 2.69-2.84


No. 7
Entry from the Alexandria database: a relaxed HfGaCu crystal (PBE-GGA).

Summary:
formation enthalpy at 0 K: -164 meV per atom
calculated volume: 100 Å³ per cell
symmetry: P6_3/mmc
total energy: -17.57 eV per formula unit
calculated density: 10.37 Mg/m³

Cell: 4.5960 4.5960 5.4567 Å, 90.00 90.00 120.00°
Closest atoms and distances in Å follow each position.
Fractional coordinates of all 6 atoms:
Hf 0.3333 0.6667 0.2500  5 Ga 2.65-2.73
Hf 0.6667 0.3333 0.7500  5 Ga 2.65-2.73
Ga 0.3333 0.6667 0.7500  5 Hf 2.65-2.73
Ga 0.6667 0.3333 0.2500  5 Hf 2.65-2.73
Cu 0.0000 0.0000 0.0000  2 Cu 2.73, 6 Hf 2.98, 6 Ga 2.98
Cu 0.0000 0.0000 0.5000  2 Cu 2.73, 6 Ga 2.98, 6 Hf 2.98


No. 8
Entry from the Alexandria database: a relaxed Hf6GaCu crystal (PBE-GGA).

Summary:
formation enthalpy at 0 K: -76 meV per atom
calculated volume: 160 Å³ per cell
symmetry: P2/m
total energy: -67.45 eV per formula unit
calculated density: 12.54 Mg/m³

Cell: 5.4204 5.4241 5.4253 Å, 90.00 90.01 90.00°
Closest atoms and distances in Å follow each position.
Fractional coordinates of all 8 atoms:
Hf 0.0000 0.2484 0.0000  2 Hf 2.69-2.73
Hf 0.0000 0.7516 0.0000  2 Hf 2.69-2.73
Hf 0.2484 0.5000 0.5012  2 Hf 2.69-2.73
Hf 0.4984 0.0000 0.7483  2 Hf 2.69-2.73
Hf 0.5016 0.0000 0.2517  2 Hf 2.69-2.73
Hf 0.7516 0.5000 0.4988  2 Hf 2.69-2.73
Ga 0.5000 0.5000 0.0000  12 Hf 3.03-3.04
Cu 0.0000 0.0000 0.5000  12 Hf 3.02-3.03